Record 1
3
Lattice="-1.6199 1.2239 -3.0672 -3.1705 -1.5321 1.0631 0.4626 6.6639 4.6202" Properties=species:S:1:pos:R:3 comment="KYCd SCAN single point on PBEsol structure" dft_energy_ev_per_cell=-66.57 pbc="T T T"
Y -1.4433 4.8616 2.7021
K -2.9658 1.7678 0.0661
Cd -4.2466 6.0820 2.4640

Record 2
5
Lattice="-4.3909 1.4679 -2.1216 -1.5085 -4.8583 -0.2392 -2.0929 0.4222 4.6236" Properties=species:S:1:pos:R:3 comment="Tl3SiRu SCAN single point on PBEsol structure" formation_energy_uncorrected_ev_per_atom=1.216 pbc="T T T"
Tl -1.0464 0.2111 2.3118
Tl -2.1955 0.7339 -1.0608
Si 0.0000 0.0000 0.0000
Ru -3.9962 -1.4841 1.1314
Tl -0.7543 -2.4292 -0.1196

Record 3
5
Lattice="-0.2943 -4.8146 1.5655 4.5368 -0.9468 -2.0588 2.2469 1.2811 4.3622" Properties=species:S:1:pos:R:3 comment="CaZn3Pt SCAN single point on PBEsol structure" dft_energy_ev_per_cell=-113.11 pbc="T T T"
Zn 2.2684 -0.4734 -1.0294
Zn -0.1471 -2.4073 0.7828
Ca 0.0000 0.0000 0.0000
Pt 3.2447 -2.2402 1.9344
Zn 1.1235 0.6405 2.1811

Record 4
5
Lattice="-0.7942 5.2378 -2.9034 -5.5759 0.4218 2.2862 2.1849 2.9803 4.7790" Properties=species:S:1:pos:R:3 comment="HgPbI3 SCAN single point on PBEsol structure" formation_energy_uncorrected_ev_per_atom=-0.122 pbc="T T T"
Pb 0.0000 0.0000 0.0000
I -0.3971 2.6189 -1.4517
Hg -2.0926 4.3200 2.0809
I 1.0925 1.4902 2.3895
I -2.7879 0.2109 1.1431

Record 5
4
Lattice="4.0041 0.0000 0.0000 0.0000 4.7474 0.0000 0.0000 -2.3737 5.6352" Properties=species:S:1:pos:R:3 comment="SrSi SCAN single point on PBEsol structure" formation_energy_uncorrected_ev_per_atom=-0.508 pbc="T T T"
Si 3.0031 0.0000 0.7213
Sr 3.0031 0.0000 4.0572
Sr 1.0010 2.3737 1.5781
Si 1.0010 2.3737 4.9140

Record 6
4
Lattice="4.0607 0.0000 0.0000 0.0000 4.0607 0.0000 -2.0303 -2.0303 3.8307" Properties=species:S:1:pos:R:3 comment="Ta2OsPt SCAN single point on PBEsol structure" dft_energy_ev_per_cell=-277.62 pbc="T T T"
Pt 0.0000 0.0000 0.0000
Os 2.0303 2.0303 0.0000
Ta 2.0303 0.0000 1.9154
Ta 0.0000 2.0303 1.9154

Record 7
26
Lattice="5.9026 0.0000 0.0000 -2.9513 5.1118 0.0000 0.0000 0.0000 14.8988" Properties=species:S:1:pos:R:3 comment="K4P2O7 SCAN single point on PBEsol structure" formation_energy_uncorrected_ev_per_atom=-2.479 pbc="T T T"
O 1.2722 4.1423 5.7589
K 0.0000 0.0000 0.0000
O 2.9513 1.7039 11.1741
O 0.0000 1.9388 5.7589
O 4.2235 0.9694 13.2083
O 1.6791 0.9694 9.1398
O 0.0000 1.9388 1.6905
K 2.9513 1.7039 6.2613
P 2.9513 1.7039 9.5644
P 2.9513 1.7039 12.7838
O 4.2235 0.9694 9.1398
P 0.0000 3.4078 5.3344
O -1.2722 4.1423 5.7589
O 1.2722 4.1423 1.6905
P 0.0000 3.4078 2.1150
K 0.0000 0.0000 3.7247
K 2.9513 1.7039 1.1880
O 2.9513 3.1729 9.1398
K 0.0000 3.4078 8.6374
O 1.6791 0.9694 13.2083
K 0.0000 3.4078 13.7107
O 0.0000 3.4078 3.7247
K 0.0000 0.0000 11.1741
O 2.9513 3.1729 13.2083
O -1.2722 4.1423 1.6905
K 0.0000 0.0000 7.4494

Record 8
4
Lattice="-4.2569 -1.9647 -1.7202 1.9815 -4.5730 0.3195 -0.5565 2.8602 5.3595" Properties=species:S:1:pos:R:3 comment="NdY3 SCAN single point on PBEsol structure" dft_energy_ev_per_cell=-126.94 pbc="T T T"
Y -2.9755 -1.1867 1.4694
Nd 0.0000 0.0000 0.0000
Y -1.1377 -3.2688 -0.7004
Y 0.1436 -2.4908 2.4893

Record 9
5
Lattice="-2.9850 -2.3367 -1.3247 2.2321 -1.0563 -3.1665 1.6841 -3.4830 2.3490" Properties=species:S:1:pos:R:3 comment="TiB2RhBr SCAN single point on PBEsol structure" formation_energy_uncorrected_ev_per_atom=2.000 pbc="T T T"
Ti 0.8421 -1.7415 1.1745
B -1.4925 -1.1684 -0.6623
Rh 0.4656 -3.4380 -1.0711
Br 0.0000 0.0000 0.0000
B 1.1161 -0.5282 -1.5833

Record 10
6
Lattice="-1.7840 3.1592 1.4907 -3.7688 -0.6838 -3.0611 -4.2644 -5.4613 6.4703" Properties=species:S:1:pos:R:3 comment="Te2Se SCAN single point on PBEsol structure" formation_energy_uncorrected_ev_per_atom=0.095 pbc="T T T"
Te -7.1204 -3.6680 4.4126
Te -2.6968 0.6821 0.4875
Se 0.0000 0.0000 0.0000
Se -4.9086 -1.4929 2.4500
Te -3.2489 -3.5032 3.5362
Te -4.7843 -2.6418 -0.1269

Record 11
4
Lattice="-1.4127 3.5525 2.1534 -2.7238 2.8204 -1.9695 -4.1872 0.2662 1.2843" Properties=species:S:1:pos:R:3 comment="Re2AgIr SCAN single point on PBEsol structure" dft_energy_ev_per_cell=-241.05 pbc="T T T"
Ir -4.1619 3.3196 0.7341
Ag 0.0000 0.0000 0.0000
Re -2.0809 1.6598 0.3670
Re -6.2428 4.9794 1.1011

Record 12
8
Lattice="-2.2127 4.0182 2.2151 -2.3677 -0.5432 4.4774 2.5081 2.1384 4.4835" Properties=species:S:1:pos:R:3 comment="NiPbF6 SCAN single point on PBEsol structure" formation_energy_uncorrected_ev_per_atom=-2.079 pbc="T T T"
F -1.3101 2.8508 3.4738
F -2.0808 0.9502 5.6813
Ni 0.0000 0.0000 0.0000
F 0.8047 1.7617 5.3310
F -0.7622 2.7626 7.7022
F -2.8770 3.8517 5.8450
Pb -1.0362 2.8067 5.5880
F 0.0085 4.6632 5.4947